No. 1
Below is a relaxed structure of Pr3MgCo3, with properties calculated at the PBE level.

Cell lengths 4.346, 5.586, 13.650 Å; angles 90.00, 90.00, 112.89 degrees
Positions (direct):
Pr  0.492  0.985  0.750
Pr  0.202  0.404  0.604
Pr  0.202  0.404  0.896
Pr  0.798  0.596  0.396
Pr  0.508  0.015  0.250
Pr  0.798  0.596  0.104
Co  0.095  0.189  0.103
Co  0.201  0.402  0.250
Co  0.905  0.811  0.897
Co  0.799  0.598  0.750
Co  0.905  0.811  0.603
Co  0.095  0.189  0.397
Mg  0.500  0.000  0.500
Mg  0.500  0.000  0.000

Results
* symmetry: Cmcm, No. 63
* E_form: -44 meV per atom

=====

No. 2
Below is a relaxed structure of Zr2BeN, with properties calculated at the PBE level.

Cell lengths 4.310, 4.310, 4.310 Å; angles 60.00, 60.00, 60.00 degrees
Positions (direct):
Be  0.000  0.000  0.000
Zr  0.250  0.250  0.250
Zr  0.750  0.750  0.750
N  0.500  0.500  0.500

Results
* symmetry: Fm-3m, No. 225
* excess energy over the best structure of this formula in the dataset: 1151 meV/atom
* uncorrected formation energy: 242 meV per atom

=====

Looking at DFT total energy for the records above, in order, we have -5.365, -7.045 eV/atom.
Looking at total magnetization for the records above, in order, we have 0.02, 0.00 μB per cell.
Looking at DOS at the Fermi energy for the records above, in order, we have 11.96, 4.80 states/eV per cell.